Record 1
DFT (GGA-PBE) results for a geometry-optimized MgTaN2 structure.

Cell and atoms, written as POSCAR:
```
MgTaN2
1.0
1.522 0.879 5.436
-1.522 0.879 5.436
0.000 -1.758 5.436
Mg Ta N
1 1 2
Cartesian
0.000 0.000 0.000
0.000 0.000 13.486
0.000 0.000 3.893
0.000 0.000 6.762
```

Properties
The total magnetization comes out at 0.00 μB/f.u. As for the density of states at the Fermi level: 1.3 states/eV/cell. The formation energy from raw total energies comes out at -930 meV/atom. The symmetry is R3m.


Record 2
DFT (GGA-PBE) results for a geometry-optimized MgTa2N structure.

Cell and atoms, written as POSCAR:
```
MgTa2N
1.0
0.000 3.115 3.115
3.115 0.000 3.115
3.115 3.115 0.000
Mg Ta N
1 2 1
Cartesian
0.000 0.000 0.000
1.558 1.558 1.558
4.673 4.673 4.673
3.115 3.115 3.115
```

Properties
The total magnetization comes out at 0.63 μB/f.u. The calculation puts the distance to the lowest polymorph of the same formula at 4.00 eV/f.u. As for the density of states at the Fermi level: 5.9 states/eV/cell. The formation energy from raw total energies comes out at 1328 meV/atom. The symmetry is Fm-3m.


Record 3
DFT (GGA-PBE) results for a geometry-optimized Mg4Ta2N structure.

Cell and atoms, written as POSCAR:
```
Mg4Ta2N
1.0
-1.932 1.932 8.864
1.932 -1.932 8.864
1.932 1.932 -8.864
Mg Ta N
4 2 1
Cartesian
1.932 0.000 0.000
0.000 0.000 2.222
0.000 1.932 0.000
0.000 0.000 15.507
0.000 0.000 4.983
0.000 0.000 12.746
0.000 0.000 0.000
```

Properties
The total magnetization comes out at 0.00 μB/f.u. As for the density of states at the Fermi level: 3.8 states/eV/cell. The formation energy from raw total energies comes out at 238 meV/atom. The symmetry is I4/mmm.


Record 4
DFT (GGA-PBE) results for a geometry-optimized Mg5Ta3N8 structure.

Cell and atoms, written as POSCAR:
```
Mg5Ta3N8
1.0
3.096 1.788 5.096
-3.096 1.788 5.096
0.000 -3.575 5.096
Mg Ta N
5 3 8
Cartesian
0.000 0.000 0.000
-1.548 -0.894 5.096
-1.548 0.894 10.192
0.000 1.788 5.096
0.000 0.000 7.644
-3.096 0.000 7.644
-1.548 0.894 2.548
1.548 0.894 2.548
-1.597 -0.922 8.840
0.000 0.000 3.767
0.000 -1.844 6.447
-1.597 0.922 6.447
1.597 -0.922 8.840
0.000 1.844 8.840
0.000 0.000 11.521
1.597 0.922 6.447
```

Properties
The total magnetization comes out at 0.00 μB/f.u. As for the density of states at the Fermi level: 2.8 states/eV/cell. The formation energy from raw total energies comes out at -1091 meV/atom. The symmetry is R-3m.


Record 5
DFT (GGA-PBE) results for a geometry-optimized Mg4Ta3N8 structure.

Cell and atoms, written as POSCAR:
```
Mg4Ta3N8
1.0
3.086 1.782 5.482
-3.086 1.782 5.482
0.000 -3.564 5.482
Mg Ta N
4 3 8
Cartesian
0.000 0.000 0.000
0.000 0.000 2.435
0.000 0.000 8.222
0.000 0.000 14.010
-1.543 -0.891 5.482
-1.543 0.891 10.963
0.000 1.782 5.482
0.000 -1.726 6.676
-1.495 0.863 6.676
0.000 0.000 4.410
-1.495 -0.863 9.769
1.495 0.863 6.676
0.000 0.000 12.035
1.495 -0.863 9.769
0.000 1.726 9.769
```

Properties
The total magnetization comes out at 0.00 μB/f.u. As for the density of states at the Fermi level: 5.4 states/eV/cell. The formation energy from raw total energies comes out at -823 meV/atom. The symmetry is R-3m.


Record 6
DFT (GGA-PBE) results for a geometry-optimized MgTaN2 structure.

Cell and atoms, written as POSCAR:
```
MgTaN2
1.0
3.103 0.000 0.000
0.000 3.103 0.000
0.000 0.000 4.299
Mg Ta N
1 1 2
Cartesian
0.000 0.000 0.000
1.552 1.552 2.149
0.000 0.000 2.149
1.552 1.552 0.000
```

Properties
The total magnetization comes out at 0.00 μB/f.u. As for the density of states at the Fermi level: 1.3 states/eV/cell. The formation energy from raw total energies comes out at -1069 meV/atom. The symmetry is P4/mmm.


Record 7
DFT (GGA-PBE) results for a geometry-optimized Mg3Ta3TcN8 structure.

Cell and atoms, written as POSCAR:
```
Mg3Ta3TcN8
1.0
3.058 1.766 5.151
-3.058 1.766 5.151
0.000 -3.532 5.151
Mg Ta Tc N
3 3 1 8
Cartesian
-1.529 -0.883 5.151
-1.529 0.883 10.303
0.000 1.766 5.151
-3.058 0.000 7.727
-1.529 0.883 2.576
1.529 0.883 2.576
0.000 0.000 7.727
-1.535 -0.886 8.909
0.000 0.000 3.813
0.000 -1.773 6.546
-1.535 0.886 6.546
1.535 -0.886 8.909
0.000 1.773 8.909
0.000 0.000 11.641
1.535 0.886 6.546
```

Properties
The total magnetization comes out at 2.18 μB/f.u. As for the density of states at the Fermi level: 3.2 states/eV/cell. The formation energy from raw total energies comes out at -825 meV/atom. The symmetry is R-3m.


Record 8
DFT (GGA-PBE) results for a geometry-optimized Mg2TaTcN4 structure.

Cell and atoms, written as POSCAR:
```
Mg2TaTcN4
1.0
5.201 0.000 0.000
0.000 3.031 0.000
-1.794 0.000 5.201
Mg Ta Tc N
2 1 1 4
Cartesian
0.000 0.000 0.000
2.601 1.515 0.000
-0.897 1.515 2.601
1.704 0.000 2.601
-0.088 0.000 3.861
0.844 1.515 1.326
2.563 1.515 3.875
3.496 0.000 1.340
```

Properties
The total magnetization comes out at 0.00 μB/f.u. As for the density of states at the Fermi level: 3.4 states/eV/cell. The formation energy from raw total energies comes out at -765 meV/atom. The symmetry is P2/m.


Record 9
DFT (GGA-PBE) results for a geometry-optimized MgTaTe2N structure.

Cell and atoms, written as POSCAR:
```
MgTaTe2N
1.0
5.418 0.000 0.000
0.000 5.418 0.000
0.000 0.000 3.814
Mg Ta Te N
1 1 2 1
Cartesian
0.000 0.000 0.000
2.709 2.709 1.907
0.000 2.709 0.000
2.709 0.000 0.000
0.000 0.000 1.907
```

Properties
The total magnetization comes out at 0.21 μB/f.u. The calculation puts the distance to the lowest polymorph of the same formula at 5.54 eV/f.u. As for the density of states at the Fermi level: 4.3 states/eV/cell. The formation energy from raw total energies comes out at 1020 meV/atom. The symmetry is P4/mmm.


Record 10
DFT (GGA-PBE) results for a geometry-optimized MgTaTe2N structure.

Cell and atoms, written as POSCAR:
```
MgTaTe2N
1.0
5.603 0.000 0.000
0.000 5.603 0.000
0.000 0.000 3.913
Mg Ta Te N
1 1 2 1
Cartesian
0.000 0.000 0.000
2.802 2.802 1.957
0.000 2.802 1.957
2.802 0.000 1.957
2.802 2.802 0.000
```

Properties
The total magnetization comes out at 0.00 μB/f.u. The calculation puts the distance to the lowest polymorph of the same formula at 0.00 eV/f.u. As for the density of states at the Fermi level: 2.9 states/eV/cell. The formation energy from raw total energies comes out at -88 meV/atom. The symmetry is P4/mmm.


Record 11
DFT (GGA-PBE) results for a geometry-optimized MgTaTeN2 structure.

Cell and atoms, written as POSCAR:
```
MgTaTeN2
1.0
4.045 0.000 0.000
0.000 4.045 0.000
0.000 0.000 5.835
Mg Ta Te N
1 1 1 2
Cartesian
0.000 0.000 0.000
2.022 2.022 2.918
2.022 2.022 0.000
0.000 2.022 2.918
2.022 0.000 2.918
```

Properties
The total magnetization comes out at 0.00 μB/f.u. The calculation puts the distance to the lowest polymorph of the same formula at 0.00 eV/f.u. As for the density of states at the Fermi level: 3.5 states/eV/cell. The formation energy from raw total energies comes out at -49 meV/atom. The symmetry is P4/mmm.


Record 12
DFT (GGA-PBE) results for a geometry-optimized MgTaTeN2 structure.

Cell and atoms, written as POSCAR:
```
MgTaTeN2
1.0
3.994 0.000 0.000
0.000 3.994 0.000
0.000 0.000 5.278
Mg Ta Te N
1 1 1 2
Cartesian
0.000 0.000 0.000
1.997 1.997 2.639
0.000 0.000 2.639
0.000 1.997 0.000
1.997 0.000 0.000
```

Properties
The total magnetization comes out at 0.00 μB/f.u. The calculation puts the distance to the lowest polymorph of the same formula at 7.99 eV/f.u. As for the density of states at the Fermi level: 5.6 states/eV/cell. The formation energy from raw total energies comes out at 1549 meV/atom. The symmetry is P4/mmm.